VASP calculation (PBEsol) on a geometry-optimized CrRuO2 structure.

Structure (CIF):
```
data_CrRuO2
_chemical_formula_sum 'Cr1 Ru1 O2'
_symmetry_space_group_name_H-M 'P 1'
_symmetry_Int_Tables_number 1
_symmetry_space_group_name_Hall 'P 1'
_cell_length_a 3.7699
_cell_length_b 3.7699
_cell_length_c 3.7699
_cell_angle_alpha 60.00
_cell_angle_beta 60.00
_cell_angle_gamma 60.00
loop_
_atom_site_label
_atom_site_fract_x
_atom_site_fract_y
_atom_site_fract_z
O1 0.7500 0.7500 0.7500
O2 0.2500 0.2500 0.2500
Cr1 0.0000 0.0000 0.0000
Ru1 0.5000 0.5000 0.5000
```

Properties
As for the energy above the most stable polymorph in this dataset: 388 meV per atom. For the total energy, the calculation gives -0.579 Ry/atom. The density of states at the Fermi level is 4.1 states/eV/cell. The uncorrected formation energy is -0.146 eV per atom.